(1)
A relaxed structure of Mn2CoRe. Source: the Alexandria database, functional PBE.

a = 4.395 Å, b = 4.395 Å, c = 4.466 Å
α = 99.14°, β = 99.14°, γ = 34.07°
Sites, in units of the cell vectors:
Mn  0.245  0.245  0.228
Mn  0.755  0.755  0.772
Co  0.500  0.500  0.000
Re  0.000  0.000  0.500

Computed properties:
Electronic total energy ... -9.39 eV per atom
SG ... C2/m, No. 12

=====

(2)
A relaxed structure of SmHoTlCu. Source: the Alexandria database, functional PBE.

a = 5.223 Å, b = 5.223 Å, c = 5.223 Å
α = 60.00°, β = 60.00°, γ = 60.00°
Sites, in units of the cell vectors:
Sm  0.000  0.000  0.000
Ho  0.500  0.500  0.500
Tl  0.750  0.750  0.750
Cu  0.250  0.250  0.250

Computed properties:
Electronic total energy ... -4.17 eV per atom
SG ... F-43m, No. 216

=====

(3)
A relaxed structure of CaThAl4. Source: the Alexandria database, functional PBE.

a = 3.690 Å, b = 4.616 Å, c = 8.023 Å
α = 90.00°, β = 90.00°, γ = 90.00°
Sites, in units of the cell vectors:
Ca  0.000  0.000  0.000
Th  0.000  0.500  0.500
Al  0.500  0.000  0.334
Al  0.500  0.000  0.666
Al  0.500  0.500  0.166
Al  0.500  0.500  0.834

Computed properties:
Electronic total energy ... -4.39 eV per atom
SG ... Pmmm, No. 47
Distance to the lowest polymorph of the same formula ... 12 meV/atom

=====

(4)
A relaxed structure of RbCaMgP2. Source: the Alexandria database, functional PBE.

a = 5.351 Å, b = 5.351 Å, c = 5.729 Å
α = 90.00°, β = 90.00°, γ = 90.00°
Sites, in units of the cell vectors:
Rb  0.000  0.000  0.000
Ca  0.000  0.000  0.500
Mg  0.500  0.500  0.000
P  0.000  0.500  0.500
P  0.500  0.000  0.500

Computed properties:
Electronic total energy ... -2.61 eV per atom
SG ... P4/mmm, No. 123